! RbScTaSe3 (PBE, optimized geometry); values from VASP
! Uncorrected energy: -5.9788 eV/atom
! Density: 5709 kg/m³
! Space-group type: No. 63
! Total magnetization: 0.22 Bohr magnetons per cell
&SYSTEM
  ibrav = 0, nat = 12, ntyp = 4
/
ATOMIC_SPECIES
Rb 85.47 Rb.upf
Sc 44.96 Sc.upf
Ta 180.95 Ta.upf
Se 78.96 Se.upf
CELL_PARAMETERS angstrom
1.946 -7.915 0.000
1.946 7.915 0.000
0.000 0.000 10.354
ATOMIC_POSITIONS angstrom
Rb 1.946 4.022 7.765
Rb 1.946 -4.022 2.588
Sc 1.946 0.000 0.000
Sc 1.946 0.000 5.177
Ta 1.946 7.383 2.588
Ta 1.946 -7.383 7.765
Se 1.946 6.030 0.501
Se 1.946 6.030 4.675
Se 1.946 1.132 2.588
Se 1.946 -1.132 7.765
Se 1.946 -6.030 5.678
Se 1.946 -6.030 9.852